Entry 1:
VASP calculation (PBE) on a relaxed structure of Ho3GeTe2.

Values from the calculation:
total energy = -5.35 eV per atom
theoretical density = 8.208 g cm⁻³

a b c (Å): 7.4943 12.7967 7.3707
angles (deg): 90.00 109.64 90.00
With the nearest neighbours (Å) after each atom.
Space group C2/c (No. 15)
Inequivalent atoms, fractional coordinates:
Ho 0.2156 0.0733 0.4940  2 Ge 2.88, 4 Te 3.05-3.22
Ho 0.2500 0.2500 0.0000  2 Ge 2.96, 4 Te 3.04-3.05
Ge 0.0000 0.0903 0.7500  6 Ho 2.88-2.96
Te 0.0000 0.2594 0.2500  6 Ho 3.04-3.16
Te 0.0000 0.4193 0.7500  6 Ho 3.05-3.22



Entry 2:
VASP calculation (PBE) on a relaxed structure of DyMg.

Values from the calculation:
total energy = -3.15 eV per atom
theoretical density = 5.717 g cm⁻³

a b c (Å): 5.3720 3.7664 5.3638
angles (deg): 90.00 90.00 90.00
With the nearest neighbours (Å) after each atom.
Space group Pmma (No. 51)
Inequivalent atoms, fractional coordinates:
Dy 0.2500 0.0000 0.2454  8 Mg 3.28
Mg 0.2500 0.5000 0.7455  8 Dy 3.28



Entry 3:
VASP calculation (PBE) on a relaxed structure of LuScCo.

Values from the calculation:
energy of formation = 0.69 eV/atom
theoretical density = 7.320 g cm⁻³

a b c (Å): 6.3249 6.3249 6.3249
angles (deg): 90.00 90.00 90.00
With the nearest neighbours (Å) after each atom.
Space group F-43m (No. 216)
Inequivalent atoms, fractional coordinates:
Lu 0.0000 0.0000 0.0000  4 Sc 2.74
Sc 0.2500 0.2500 0.7500  4 Co 2.74, 4 Lu 2.74
Co 0.0000 0.0000 0.5000  4 Sc 2.74



Entry 4:
VASP calculation (PBE) on a relaxed structure of ErTlTe3As.

Values from the calculation:
total energy = -3.99 eV per atom
theoretical density = 7.148 g cm⁻³

a b c (Å): 4.3478 15.6030 11.3599
angles (deg): 90.00 90.00 90.00
With the nearest neighbours (Å) after each atom.
Space group Cmcm (No. 63)
Inequivalent atoms, fractional coordinates:
Er 0.0000 0.0000 0.0000  6 Te 3.09-3.17
Tl 0.0000 0.2391 0.2500  8 Te 3.44-3.81, 2 As 3.68
Te 0.0000 0.0897 0.7500  2 As 3.06, 2 Er 3.17
Te 0.0000 0.3625 0.5397  1 As 2.76, 2 Er 3.09
As 0.0000 0.4514 0.7500  4 Te 2.76-3.06



Entry 5:
VASP calculation (PBE) on a relaxed structure of LiSbPd2.

Values from the calculation:
total energy = -4.65 eV per atom
theoretical density = 8.646 g cm⁻³

a b c (Å): 4.3237 4.3237 3.5088
angles (deg): 90.00 90.00 90.00
With the nearest neighbours (Å) after each atom.
Space group P4/mmm (No. 123)
Inequivalent atoms, fractional coordinates:
Li 0.0000 0.0000 0.0000  8 Pd 2.78, 4 Sb 3.06
Sb 0.5000 0.5000 0.0000  8 Pd 2.78, 4 Li 3.06
Pd 0.0000 0.5000 0.5000  4 Li 2.78, 4 Sb 2.78, 4 Pd 3.06



Entry 6:
VASP calculation (PBE) on a relaxed structure of Al2FeNi.

Values from the calculation:
total energy = -5.88 eV per atom
theoretical density = 5.970 g cm⁻³

a b c (Å): 4.0034 4.0034 2.9243
angles (deg): 90.00 90.00 90.00
With the nearest neighbours (Å) after each atom.
Space group P4/mmm (No. 123)
Inequivalent atoms, fractional coordinates:
Al 0.0000 0.5000 0.0000  4 Ni 2.48, 4 Fe 2.48
Fe 0.0000 0.0000 0.5000  8 Al 2.48
Ni 0.5000 0.5000 0.5000  8 Al 2.48